Material: SrGdMgHg
Method: DFT, PBE
State: optimized geometry

Computed properties:
Energy relative to the elements ... -0.23 eV per atom
Magnetic moment ... 1.81 μB per atom
DOS at the Fermi energy ... 4.015 states/eV per cell

a b c (Å): 5.538 5.538 5.538
angles (deg): 60.00 60.00 60.00
Each line ends with the local moment (μB).
Fractional coordinates of all 4 atoms:
Mg: 0.500 0.500 0.500  0.00
Hg: 0.000 0.000 0.000  0.00
Gd: 0.750 0.750 0.750  7.04
Sr: 0.250 0.250 0.250  0.00